# 1
Computed, not measured: a relaxed MnTcTe2I crystal at the GGA-PBEsol level of DFT.

```
MnTcTe2I
1.0
5.188 0.000 0.000
0.000 5.188 0.000
0.000 0.000 5.245
Mn Tc Te I
1 1 2 1
Direct
0.000 0.000 0.000
0.500 0.500 0.500
0.000 0.500 0.000
0.500 0.000 0.000
0.000 0.000 0.500
```

Output
Its formation energy without anion corrections is 109 kJ per mole of atoms. Its space group is No. 123. For the total energy, the calculation gives -4.84 eV/atom. The value obtained for the calculated density is 6294 kg/m3. As for the density of states at the Fermi level: 4.029 states/eV/cell.


# 2
Computed, not measured: a relaxed Ta2AgSb crystal at the GGA-PBEsol level of DFT.

```
Ta2AgSb
1.0
2.913 0.000 0.000
0.000 4.535 0.000
-1.100 0.000 5.507
Ta Ag Sb
2 1 1
Direct
0.000 0.000 0.000
0.255 0.500 0.723
0.597 0.500 0.217
0.675 0.000 0.491
```

Output
Its formation energy without anion corrections is 21 kJ per mole of atoms. Its space group is No. 6. For the total energy, the calculation gives -8.03 eV/atom. The value obtained for the calculated density is 13502 kg/m3. As for the density of states at the Fermi level: 1.400 states/eV/cell.


# 3
Computed, not measured: a relaxed KTeCN2 crystal at the GGA-PBEsol level of DFT.

```
KTeCN2
1.0
4.301 0.000 0.000
0.000 4.301 0.000
0.000 0.000 4.267
K Te C N
1 1 1 2
Direct
0.000 0.000 0.000
0.500 0.500 0.000
0.500 0.500 0.500
0.000 0.500 0.500
0.500 0.000 0.500
```

Output
Its formation energy without anion corrections is 219 kJ per mole of atoms. Its space group is No. 123. For the total energy, the calculation gives -4.00 eV/atom. The value obtained for the calculated density is 4349 kg/m3. As for the density of states at the Fermi level: 3.902 states/eV/cell. The distance to the lowest polymorph of the same formula is 0.0000 eV/atom.


# 4
Computed, not measured: a relaxed Ta4OsPt crystal at the GGA-PBEsol level of DFT.

```
Ta4OsPt
1.0
0.000 3.698 3.698
3.698 0.000 3.698
3.698 3.698 0.000
Ta Os Pt
4 1 1
Direct
0.124 0.124 0.124
0.124 0.124 0.628
0.124 0.628 0.124
0.628 0.124 0.124
0.750 0.750 0.750
0.500 0.500 0.500
```

Output
The value obtained for the formation energy is 0.26 eV/atom. Its space group is No. 216. For the total energy, the calculation gives -11.30 eV/atom. The value obtained for the calculated density is 18215 kg/m3. As for the density of states at the Fermi level: 2.567 states/eV/cell.


# 5
Computed, not measured: a relaxed CdCl2 crystal at the GGA-PBEsol level of DFT.

```
CdCl2
1.0
1.910 1.103 11.913
-1.910 1.103 11.913
0.000 -2.205 11.913
Cd Cl
2 4
Direct
0.000 0.000 0.000
0.500 0.500 0.500
0.127 0.127 0.127
0.293 0.293 0.293
0.707 0.707 0.707
0.873 0.873 0.873
```

Output
Its formation energy without anion corrections is -103 kJ per mole of atoms. Its space group is No. 166. For the total energy, the calculation gives -2.80 eV/atom. The value obtained for the calculated density is 4045 kg/m3. As for the density of states at the Fermi level: 0.000 states/eV/cell.


# 6
Computed, not measured: a relaxed CsRbNa2 crystal at the GGA-PBEsol level of DFT.

```
CsRbNa2
1.0
9.991 0.000 0.000
0.000 9.991 0.000
0.000 0.000 9.991
Cs Rb Na
4 4 8
Direct
0.000 0.000 0.000
0.000 0.500 0.500
0.500 0.000 0.500
0.500 0.500 0.000
0.000 0.000 0.500
0.000 0.500 0.000
0.500 0.000 0.000
0.500 0.500 0.500
0.250 0.250 0.250
0.250 0.250 0.750
0.250 0.750 0.250
0.250 0.750 0.750
0.750 0.250 0.250
0.750 0.250 0.750
0.750 0.750 0.250
0.750 0.750 0.750
```

Output
The value obtained for the formation energy is 0.03 eV/atom. Its space group is No. 225. For the total energy, the calculation gives -1.16 eV/atom. The value obtained for the calculated density is 1761 kg/m3. As for the density of states at the Fermi level: 10.633 states/eV/cell.


# 7
Computed, not measured: a relaxed ScCuTe2I crystal at the GGA-PBEsol level of DFT.

```
ScCuTe2I
1.0
5.095 0.000 0.000
0.000 5.095 0.000
0.000 0.000 5.185
Sc Cu Te I
1 1 2 1
Direct
0.000 0.000 0.000
0.500 0.500 0.500
0.000 0.500 0.500
0.500 0.000 0.500
0.500 0.500 0.000
```

Output
Its formation energy without anion corrections is 5 kJ per mole of atoms. Its space group is No. 123. For the total energy, the calculation gives -3.90 eV/atom. The value obtained for the calculated density is 6053 kg/m3. As for the density of states at the Fermi level: 2.667 states/eV/cell.


# 8
Computed, not measured: a relaxed BeFe2BPt crystal at the GGA-PBEsol level of DFT.

```
BeFe2BPt
1.0
3.765 0.000 0.000
0.000 3.765 0.000
0.000 0.000 4.051
Be Fe B Pt
1 2 1 1
Direct
0.000 0.000 0.000
0.000 0.500 0.000
0.500 0.000 0.000
0.500 0.500 0.500
0.000 0.000 0.500
```

Output
The value obtained for the formation energy is 0.99 eV/atom. Its space group is No. 123. For the total energy, the calculation gives -6.19 eV/atom. The value obtained for the calculated density is 9445 kg/m3. As for the density of states at the Fermi level: 3.668 states/eV/cell.